{"formula": "TcMo2P", "functional": "GGA-PBEsol", "state": "relaxed", "formation_enthalpy_0k_mev_per_atom": -73, "mass_density_g_cm3": 9.4, "energy_ev_per_cell": -40.88, "crystal_system": "orthorhombic", "lattice": [[-1.936, 0.257, 2.127], [-2.973, -0.081, -2.695], [-0.220, -4.881, 0.390]], "species": ["Mo", "Mo", "P", "Tc"], "frac_coords": [[0.000, 0.000, 0.993], [0.500, 0.500, 0.266], [0.000, 0.000, 0.498], [0.500, 0.500, 0.743]]}